(1)
# Cs2YVPb

A geometry-optimized Cs2YVPb structure (GGA-PBE, the Alexandria database).

a = 6.158 Å, b = 5.916 Å, c = 6.158 Å
α = 90.00°, β = 90.00°, γ = 90.00°
Element x y z (fractional)
1 Pb 0.500 0.500 0.500
2 Cs 0.000 0.000 0.500
3 Cs 0.500 0.000 0.000
4 Y 0.000 0.500 0.000
5 V 0.000 0.000 0.000

Summary:
* theoretical density: 4.5 g cm⁻³
* ΔE_f: 1.056 eV/atom
* spin magnetization: 3.51 μB/cell



(2)
# Na3NbRu

A geometry-optimized Na3NbRu structure (GGA-PBE, the Alexandria database).

a = 5.746 Å, b = 5.746 Å, c = 5.746 Å
α = 90.00°, β = 90.00°, γ = 90.00°
Element x y z (fractional)
1 Ru 0.500 0.500 0.500
2 Nb 0.000 0.000 0.000
3 Na 0.000 0.500 0.000
4 Na 0.000 0.000 0.500
5 Na 0.500 0.000 0.000

Summary:
* theoretical density: 2.3 g cm⁻³
* ΔE_f: 2.158 eV/atom
* spin magnetization: 7.71 μB/cell



(3)
# Tl3AgBi2Te6

A geometry-optimized Tl3AgBi2Te6 structure (GGA-PBE, the Alexandria database).

a = 7.791 Å, b = 7.791 Å, c = 8.032 Å
α = 99.24°, β = 99.24°, γ = 120.14°
Element x y z (fractional)
1 Tl 0.182 0.818 0.500
2 Tl 0.818 0.182 0.500
3 Tl 0.500 0.500 0.500
4 Ag 0.000 0.000 0.000
5 Bi 0.337 0.663 0.000
6 Bi 0.663 0.337 0.000
7 Te 0.928 0.611 0.778
8 Te 0.756 0.756 0.232
9 Te 0.072 0.389 0.222
10 Te 0.611 0.928 0.778
11 Te 0.244 0.244 0.768
12 Te 0.389 0.072 0.222

Summary:
* theoretical density: 7.9 g cm⁻³
* spin magnetization: 0.00 μB/cell
* raw formation energy: -0.208 eV/atom



(4)
# CaYS2N

A geometry-optimized CaYS2N structure (GGA-PBE, the Alexandria database).

a = 5.131 Å, b = 5.131 Å, c = 4.286 Å
α = 90.00°, β = 90.00°, γ = 90.00°
Element x y z (fractional)
1 Y 0.500 0.500 0.500
2 Ca 0.000 0.000 0.000
3 S 0.000 0.500 0.000
4 S 0.500 0.000 0.000
5 N 0.000 0.000 0.500

Summary:
* theoretical density: 3.0 g cm⁻³
* offset from the most stable computed form: 2.54 eV per formula unit
* spin magnetization: 2.00 μB/cell
* raw formation energy: -0.287 eV/atom



Question: Which of these has the highest theoretical density?
Answer: Tl3AgBi2Te6



Question: The highest spin magnetization belongs to which entry?
Answer: Na3NbRu